No. 1
VASP calculation (PBE) on a geometry-optimized RbMg structure.

Unit cell a=5.111 b=11.629 c=9.034 alpha=90.00 beta=124.27 gamma=90.00
Element x y z (fractional)
Mg 0.791 0.500 0.517
Mg 0.791 0.000 0.017
Mg 0.509 0.500 0.737
Mg 0.509 0.000 0.237
Rb 0.010 0.305 0.234
Rb 0.010 0.195 0.734
Rb 0.010 0.805 0.734
Rb 0.010 0.695 0.234

Values from the calculation:
Energy, eV for the cell shown: -8.14
Space-group type: Cm, No. 8

No. 2
VASP calculation (PBE) on a geometry-optimized Ca2MgHAu structure.

Unit cell a=4.834 b=4.834 c=4.356 alpha=90.00 beta=90.00 gamma=90.00
Element x y z (fractional)
Mg 0.000 0.000 0.500
Au 0.500 0.500 0.500
H 0.000 0.000 0.000
Ca 0.000 0.500 0.000
Ca 0.500 0.000 0.000

Values from the calculation:
Energy, eV for the cell shown: -14.31
Space-group type: P4/mmm, No. 123

No. 3
VASP calculation (PBE) on a geometry-optimized Ga6Pt2Rh structure.

Unit cell a=6.401 b=6.401 c=8.941 alpha=90.00 beta=90.00 gamma=90.00
Element x y z (fractional)
Ga 0.228 0.772 0.500
Ga 0.224 0.776 0.836
Ga 0.728 0.728 0.000
Pt 0.500 0.500 0.833
Ga 0.724 0.724 0.664
Pt 0.000 0.000 0.667
Ga 0.276 0.276 0.664
Rh 0.000 0.000 0.000
Ga 0.776 0.224 0.164
Ga 0.772 0.228 0.500
Pt 0.000 0.000 0.333
Pt 0.500 0.500 0.167
Ga 0.776 0.224 0.836
Rh 0.500 0.500 0.500
Ga 0.276 0.276 0.336
Ga 0.724 0.724 0.336
Ga 0.272 0.272 0.000
Ga 0.224 0.776 0.164

Values from the calculation:
Energy, eV for the cell shown: -82.46
Space-group type: P4_2/mnm, No. 136

Fermi-level density of states list, top to bottom, in states/eV/f.u.: 1.378, 2.539, 4.721